[1]
Material: LaMgSb
Method: DFT, PBE
State: relaxed

```
LaMgSb
1.0
-0.809 1.568 -4.455
-3.186 -2.862 2.148
-2.011 3.415 1.567
La Mg Sb
1 1 1
direct
0.000 0.000 0.000
0.667 0.333 0.500
0.333 0.667 0.501
```

Summary:
- Polymorph energy (0 for the lowest one): 0.000 eV/atom
- Total magnetization: 0.0 μB per formula unit
- Raw formation energy: -0.712 eV/atom
- DOS(E_F): 0.37 states/eV per cell
- Final energy: -4.26 eV/atom

***

[2]
Material: LiPmU2Se4
Method: DFT, PBE
State: relaxed

```
LiPmU2Se4
1.0
4.016 0.000 0.000
0.000 6.950 0.114
0.000 -2.441 6.890
Se U Pm Li
4 2 1 1
direct
0.000 0.262 0.758
0.500 0.740 0.752
0.500 0.260 0.248
0.000 0.738 0.242
0.000 0.500 0.500
0.500 0.000 0.500
0.000 0.000 0.000
0.500 0.500 0.000
```

Summary:
- Total magnetization: 6.2 μB per formula unit
- Raw formation energy: -1.293 eV/atom
- DOS(E_F): 9.66 states/eV per cell
- Final energy: -6.69 eV/atom

***

[3]
Material: TaMnBe2
Method: DFT, PBE
State: relaxed

```
TaMnBe2
1.0
3.411 -1.744 1.219
0.171 -1.783 3.599
0.232 -4.005 0.250
Be Mn Ta
2 1 1
direct
0.750 0.750 0.750
0.250 0.250 0.250
0.000 0.000 0.000
0.500 0.500 0.500
```

Summary:
- Polymorph energy (0 for the lowest one): 0.157 eV/atom
- Total magnetization: 1.7 μB per formula unit
- Energy of formation: 13.5 kJ/mol of formula units
- DOS(E_F): 1.91 states/eV per cell
- Final energy: -7.08 eV/atom

***

[4]
Material: NaHf2Zn
Method: DFT, PBE
State: relaxed

```
NaHf2Zn
1.0
-0.868 3.984 -0.148
-3.257 -0.621 2.378
4.099 3.352 9.992
Hf Zn Na
4 2 2
direct
0.111 0.625 0.250
0.639 0.125 0.250
0.375 0.361 0.750
0.875 0.889 0.750
0.750 0.250 0.500
0.000 0.000 0.000
0.500 0.500 0.000
0.250 0.750 0.500
```

Summary:
- Total magnetization: 0.0 μB per formula unit
- Energy of formation: 267.3 kJ/mol of formula units
- DOS(E_F): 7.16 states/eV per cell
- Final energy: -4.93 eV/atom